Record 1
Compound: TlTe2C
Source: Alexandria via LeMat-Bulk
Functional: PBE-GGA
Structure: relaxed

CIF file:
```
data_TlTe2C
_chemical_formula_sum 'Tl3 Te6 C3'
_symmetry_space_group_name_H-M 'R -3 m'
_symmetry_Int_Tables_number 166
_symmetry_space_group_name_Hall '-R 3 2"'
_cell_length_a 5.5660
_cell_length_b 5.5660
_cell_length_c 20.1170
_cell_angle_alpha 90.00
_cell_angle_beta 90.00
_cell_angle_gamma 120.00
loop_
_atom_site_label
_atom_site_fract_x
_atom_site_fract_y
_atom_site_fract_z
_atom_site_occupancy
Tl1 0.0000 0.0000 0.0000 1
Te1 0.0000 0.0000 0.4029 1
C1 0.0000 0.0000 0.5000 1
```

Calculated values
V: 44.98 Å³ per atom
formation energy from raw total energies: 866 meV per atom

***

Record 2
Compound: TlTe2C
Source: Alexandria via LeMat-Bulk
Functional: PBE-GGA
Structure: relaxed

CIF file:
```
data_TlTe2C
_chemical_formula_sum 'Tl4 Te8 C4'
_symmetry_space_group_name_H-M 'I -4 2 d'
_symmetry_Int_Tables_number 122
_symmetry_space_group_name_Hall 'I -4 2bw'
_cell_length_a 7.307
_cell_length_b 7.307
_cell_length_c 8.427
_cell_angle_alpha 90.00
_cell_angle_beta 90.00
_cell_angle_gamma 90.00
loop_
_atom_site_label
_atom_site_fract_x
_atom_site_fract_y
_atom_site_fract_z
_atom_site_occupancy
Tl1 0.000 0.000 0.000 1
Te1 0.126 0.250 0.625 1
C1 0.000 0.000 0.500 1
```

Calculated values
V: 28.12 Å³ per atom
formation energy from raw total energies: 779 meV per atom

***

Record 3
Compound: TlTe2C
Source: Alexandria via LeMat-Bulk
Functional: PBE-GGA
Structure: relaxed

CIF file:
```
data_TlTe2C
_chemical_formula_sum 'Tl3 Te6 C3'
_symmetry_space_group_name_H-M 'R -3 m'
_symmetry_Int_Tables_number 166
_symmetry_space_group_name_Hall '-R 3 2"'
_cell_length_a 3.4143
_cell_length_b 3.4143
_cell_length_c 29.5934
_cell_angle_alpha 90.00
_cell_angle_beta 90.00
_cell_angle_gamma 120.00
loop_
_atom_site_label
_atom_site_fract_x
_atom_site_fract_y
_atom_site_fract_z
_atom_site_occupancy
Tl1 0.0000 0.0000 0.0000 1
Te1 0.0000 0.0000 0.1148 1
C1 0.0000 0.0000 0.5000 1
```

Calculated values
V: 24.90 Å³ per atom
formation energy from raw total energies: 1007 meV per atom

***

Record 4
Compound: Tm8TeC4
Source: Alexandria via LeMat-Bulk
Functional: PBE-GGA
Structure: relaxed

CIF file:
```
data_Tm8TeC4
_chemical_formula_sum 'Tm16 Te2 C8'
_symmetry_space_group_name_H-M 'C 1 2/m 1'
_symmetry_Int_Tables_number 12
_symmetry_space_group_name_Hall '-C 2y'
_cell_length_a 16.998
_cell_length_b 3.654
_cell_length_c 11.770
_cell_angle_alpha 90.00
_cell_angle_beta 132.38
_cell_angle_gamma 90.00
loop_
_atom_site_label
_atom_site_fract_x
_atom_site_fract_y
_atom_site_fract_z
_atom_site_occupancy
Tm1 0.044 0.000 0.223 1
Tm2 0.139 0.500 0.094 1
Tm3 0.159 0.500 0.835 1
Tm4 0.197 0.500 0.558 1
Te1 0.000 0.000 0.500 1
C1 0.148 0.000 0.959 1
C2 0.172 0.500 0.331 1
```

Calculated values
V: 20.77 Å³ per atom
formation energy from raw total energies: -414 meV per atom

***

no.,calculated density (g/cm3)
1,4.35
2,6.96
3,7.86
4,9.39